1.
Here is crystalline SrTcHgGe2 at its relaxed geometry from Alexandria. Energies are from PBE-GGA.

a = 4.831 Å, b = 4.831 Å, c = 5.353 Å
α = 90.00°, β = 90.00°, γ = 90.00°
Space group P4/mmm (No. 123)
Symmetry-distinct sites (fractional):
Sr 0.000 0.000 0.000 (multiplicity 1)
Tc 0.500 0.500 0.500 (multiplicity 1)
Hg 0.500 0.500 0.000 (multiplicity 1)
Ge 0.000 0.500 0.500 (multiplicity 2)

Results
- uncorrected energy (eV/atom) = -4.45

2.
Here is crystalline Sc3Ni4Ge4 at its relaxed geometry from Alexandria. Energies are from PBE-GGA.

a = 3.384 Å, b = 4.080 Å, c = 12.661 Å
α = 99.26°, β = 97.64°, γ = 90.00°
Space group P-1 (No. 2)
Symmetry-distinct sites (fractional):
Sc 0.000 0.000 0.000 (multiplicity 1)
Sc 0.146 0.646 0.290 (multiplicity 2)
Ni 0.257 0.257 0.514 (multiplicity 2)
Ni 0.404 0.905 0.809 (multiplicity 2)
Ge 0.310 0.810 0.621 (multiplicity 2)
Ge 0.448 0.449 0.898 (multiplicity 2)

Results
- uncorrected energy (eV/atom) = -6.18

3.
Here is crystalline La3Mg2VS8 at its relaxed geometry from Alexandria. Energies are from PBE-GGA.

a = 8.0769 Å, b = 8.0769 Å, c = 19.2506 Å
α = 90.00°, β = 90.00°, γ = 120.00°
Space group R-3m (No. 166, hexagonal axes)
Symmetry-distinct sites (fractional):
La 0.0000 0.5000 0.0000 (multiplicity 9)
Mg 0.0000 0.0000 0.1257 (multiplicity 6)
V 0.0000 0.0000 0.5000 (multiplicity 3)
S 0.0000 0.0000 0.2515 (multiplicity 6)
S 0.0256 0.5128 0.2401 (multiplicity 18)

Results
- formation energy (no corrections) (eV/atom) = -1.573

4.
Here is crystalline Th7In2Co2 at its relaxed geometry from Alexandria. Energies are from PBE-GGA.

a = 8.077 Å, b = 11.430 Å, c = 6.908 Å
α = 90.00°, β = 90.00°, γ = 90.00°
Space group Cmmm (No. 65)
Symmetry-distinct sites (fractional):
Th 0.000 0.000 0.000 (multiplicity 2)
Th 0.000 0.500 0.231 (multiplicity 4)
Th 0.250 0.250 0.252 (multiplicity 8)
In 0.171 0.000 0.500 (multiplicity 4)
Co 0.000 0.268 0.000 (multiplicity 4)

Results
- uncorrected energy (eV/atom) = -6.59

Values of M_tot, in order: 0.00, 0.00, 2.00, 0.00, all in μB/f.u..